[1]
Here is a geometry-optimized AgB2C structure from Alexandria via LeMat-Bulk. Energies are from GGA-PBE.

Calculated values
- Excess energy over the best structure of this formula in the dataset: 0 meV/atom
- Calculated formation energy: 0.701 eV/atom

Cell: 4.9126 4.9126 4.9126 Å, 121.74 121.74 87.00°
Positions (direct):
Ag1 0.0000 0.0000 0.0000
Ag2 0.7500 0.2500 0.5000
B1 0.2512 0.6250 0.1262
B2 0.3750 0.5012 0.6262
B3 0.4988 0.1250 0.8738
B4 0.8750 0.7488 0.3738
C1 0.2500 0.7500 0.5000
C2 0.5000 0.5000 0.0000



[2]
Here is a geometry-optimized AgBC structure from Alexandria via LeMat-Bulk. Energies are from GGA-PBE.

Calculated values
- Excess energy over the best structure of this formula in the dataset: 320 meV/atom
- Calculated formation energy: 0.710 eV/atom

Cell: 3.0333 4.5782 6.5817 Å, 88.83 77.48 70.68°
Positions (direct):
Ag1 0.0000 0.0000 0.0000
Ag2 0.1415 0.4780 0.2437
B1 0.4173 0.1459 0.6622
B2 0.4238 0.9037 0.2609
C1 0.2829 0.0247 0.4785
C2 0.9135 0.1505 0.6631



[3]
Here is a geometry-optimized AgBC structure from Alexandria via LeMat-Bulk. Energies are from GGA-PBE.

Calculated values
- Excess energy over the best structure of this formula in the dataset: 199 meV/atom
- Calculated formation energy: 0.588 eV/atom

Cell: 3.9186 3.9186 5.7336 Å, 90.00 90.00 111.56°
Positions (direct):
Ag1 0.1036 0.8964 0.7500
Ag2 0.8964 0.1036 0.2500
B1 0.5000 0.5000 0.0000
B2 0.5000 0.5000 0.5000
C1 0.4980 0.5020 0.7500
C2 0.5020 0.4980 0.2500



What is the excess energy over the best structure of this formula in the dataset in the third record?
199 meV/atom